[1]
First-principles (PBE-GGA) data for a relaxed structure of LaGa4Cu3, as listed in Alexandria via LeMat-Bulk.

Results
total magnetization = 0.00 μB per cell
Fermi-level density of states = 0.356 states/eV per atom
space group = P4/mmm

a = 4.1746 Å, b = 4.1746 Å, c = 8.1811 Å
α = 90.00°, β = 90.00°, γ = 90.00°
Closest atoms and distances in Å follow each position.
Positions (direct):
Cu: 0.0000 0.0000 0.0000  8 Ga 2.53
Cu: 0.5000 0.5000 0.3504  1 Cu 2.45, 4 Ga 2.54
Cu: 0.5000 0.5000 0.6496  1 Cu 2.45, 4 Ga 2.54
Ga: 0.5000 0.0000 0.1743  4 Cu 2.53-2.54
Ga: 0.5000 0.0000 0.8257  4 Cu 2.53-2.54
Ga: 0.0000 0.5000 0.8257  4 Cu 2.53-2.54
Ga: 0.0000 0.5000 0.1743  4 Cu 2.53-2.54
La: 0.0000 0.0000 0.5000  8 Cu 3.20, 8 Ga 3.38



[2]
First-principles (PBE-GGA) data for a relaxed structure of La2Ga2Cu15, as listed in Alexandria via LeMat-Bulk.

Results
total magnetization = 0.00 μB per cell
Fermi-level density of states = 0.647 states/eV per atom
space group = R-3m

a = 6.6002 Å, b = 6.6002 Å, c = 6.6002 Å
α = 83.02°, β = 83.02°, γ = 83.02°
Closest atoms and distances in Å follow each position.
Positions (direct):
Cu: 0.5000 0.0000 0.0000  8 Cu 2.50-2.52, 2 Ga 2.66
Cu: 0.8492 0.3438 0.3438  8 Cu 2.52-2.65, 1 Ga 2.69
Cu: 0.2967 0.0000 0.7033  8 Cu 2.50-2.65
Cu: 0.2967 0.7033 0.0000  8 Cu 2.50-2.65
Cu: 0.6562 0.1508 0.6562  8 Cu 2.52-2.65, 1 Ga 2.69
Cu: 0.0000 0.7033 0.2967  8 Cu 2.50-2.65
Cu: 0.3438 0.8492 0.3438  8 Cu 2.52-2.65, 1 Ga 2.69
Cu: 0.3438 0.3438 0.8492  8 Cu 2.52-2.65, 1 Ga 2.69
Cu: 0.7033 0.2967 0.0000  8 Cu 2.50-2.65
Cu: 0.6562 0.6562 0.1508  8 Cu 2.52-2.65, 1 Ga 2.69
Cu: 0.7033 0.0000 0.2967  8 Cu 2.50-2.65
Cu: 0.0000 0.2967 0.7033  8 Cu 2.50-2.65
Cu: 0.1508 0.6562 0.6562  8 Cu 2.52-2.65, 1 Ga 2.69
Cu: 0.0000 0.5000 0.0000  8 Cu 2.50-2.52, 2 Ga 2.66
Cu: 0.0000 0.0000 0.5000  8 Cu 2.50-2.52, 2 Ga 2.66
Ga: 0.8983 0.8983 0.8983  1 Ga 2.59, 12 Cu 2.66-2.90
Ga: 0.1017 0.1017 0.1017  1 Ga 2.59, 12 Cu 2.66-2.90
La: 0.6502 0.6502 0.6502  18 Cu 3.10-3.44, 1 Ga 3.16
La: 0.3498 0.3498 0.3498  18 Cu 3.10-3.44, 1 Ga 3.16



[3]
First-principles (PBE-GGA) data for a relaxed structure of LaGaCu, as listed in Alexandria via LeMat-Bulk.

Results
total magnetization = 0.00 μB per cell
Fermi-level density of states = 1.373 states/eV per atom
space group = F-43m

a = 4.6501 Å, b = 4.6501 Å, c = 4.6501 Å
α = 60.00°, β = 60.00°, γ = 60.00°
Closest atoms and distances in Å follow each position.
Positions (direct):
Cu: 0.2500 0.2500 0.2500  4 La 2.85, 4 Ga 2.85
Ga: 0.0000 0.0000 0.0000  4 Cu 2.85
La: 0.5000 0.5000 0.5000  4 Cu 2.85



[4]
First-principles (PBE-GGA) data for a relaxed structure of La3Ga3Cu8, as listed in Alexandria via LeMat-Bulk.

Results
total magnetization = 0.00 μB per cell
Fermi-level density of states = 0.613 states/eV per atom
space group = Immm
E above lowest polymorph = 39 meV/atom

a = 4.3413 Å, b = 8.1748 Å, c = 8.1748 Å
α = 67.03°, β = 74.60°, γ = 74.60°
Closest atoms and distances in Å follow each position.
Positions (direct):
Cu: 0.1662 0.4788 0.1887  1 Ga 2.51, 4 Cu 2.55-2.70
Cu: 0.1662 0.1887 0.4788  1 Ga 2.51, 4 Cu 2.55-2.70
Cu: 0.6307 0.0842 0.6543  3 Cu 2.55-2.70, 3 Ga 2.57-2.75
Cu: 0.8338 0.8113 0.5212  1 Ga 2.51, 4 Cu 2.55-2.70
Cu: 0.8338 0.5212 0.8113  1 Ga 2.51, 4 Cu 2.55-2.70
Cu: 0.3693 0.9158 0.3457  3 Cu 2.55-2.70, 3 Ga 2.57-2.75
Cu: 0.3693 0.3457 0.9158  3 Cu 2.55-2.70, 3 Ga 2.57-2.75
Cu: 0.6307 0.6543 0.0842  3 Cu 2.55-2.70, 3 Ga 2.57-2.75
La: 0.5000 0.5000 0.5000  12 Cu 3.08-3.32, 4 Ga 3.39
La: 0.2019 0.7981 0.7981  12 Cu 3.05-3.36, 4 Ga 3.24-3.39
La: 0.7981 0.2019 0.2019  12 Cu 3.05-3.36, 4 Ga 3.24-3.39
Ga: 0.0000 0.7879 0.2121  6 Cu 2.51-2.75
Ga: 0.0000 0.2121 0.7879  6 Cu 2.51-2.75
Ga: 0.5000 0.0000 0.0000  4 Cu 2.57



[5]
First-principles (PBE-GGA) data for a relaxed structure of LaGa5Cu3, as listed in Alexandria via LeMat-Bulk.

Results
total magnetization = 0.00 μB per cell
Fermi-level density of states = 0.209 states/eV per atom
space group = Cmcm

a = 4.0225 Å, b = 6.5739 Å, c = 12.6903 Å
α = 90.00°, β = 90.00°, γ = 107.81°
Closest atoms and distances in Å follow each position.
Positions (direct):
Ga: 0.1994 0.3989 0.5713  2 Cu 2.39-2.46, 1 Ga 2.66
Ga: 0.0000 0.0000 0.5000  4 Cu 2.51, 2 Ga 2.66
Ga: 0.8006 0.6011 0.0713  2 Cu 2.39-2.46, 1 Ga 2.66
Ga: 0.8006 0.6011 0.4287  2 Cu 2.39-2.46, 1 Ga 2.66
Ga: 0.1994 0.3989 0.9287  2 Cu 2.39-2.46, 1 Ga 2.66
Ga: 0.5487 0.0974 0.8479  4 Cu 2.45-2.59, 1 Ga 2.48
Ga: 0.4513 0.9026 0.3479  4 Cu 2.45-2.59, 1 Ga 2.48
Ga: 0.5487 0.0974 0.6521  4 Cu 2.45-2.59, 1 Ga 2.48
Ga: 0.0000 0.0000 0.0000  4 Cu 2.51, 2 Ga 2.66
Ga: 0.4513 0.9026 0.1521  4 Cu 2.45-2.59, 1 Ga 2.48
Cu: 0.6119 0.2239 0.4581  5 Ga 2.39-2.59
Cu: 0.6119 0.2239 0.0419  5 Ga 2.39-2.59
Cu: 0.1226 0.2453 0.7500  6 Ga 2.46-2.54
Cu: 0.3881 0.7761 0.5419  5 Ga 2.39-2.59
Cu: 0.8774 0.7547 0.2500  6 Ga 2.46-2.54
Cu: 0.3881 0.7761 0.9581  5 Ga 2.39-2.59
La: 0.1641 0.3281 0.2500  7 Cu 3.34-3.59, 8 Ga 3.48-3.56
La: 0.8359 0.6719 0.7500  7 Cu 3.34-3.59, 8 Ga 3.48-3.56



[6]
First-principles (PBE-GGA) data for a relaxed structure of La2Ga5Cu3, as listed in Alexandria via LeMat-Bulk.

Results
total magnetization = 0.00 μB per cell
Fermi-level density of states = 0.523 states/eV per atom
space group = P-4m2
E above lowest polymorph = 26 meV/atom

a = 4.3096 Å, b = 4.3096 Å, c = 10.3266 Å
α = 90.00°, β = 90.00°, γ = 90.00°
Closest atoms and distances in Å follow each position.
Positions (direct):
La: 0.0000 0.5000 0.2568  10 Ga 3.30-3.42, 6 Cu 3.31-3.42
La: 0.5000 0.0000 0.7432  10 Ga 3.30-3.42, 6 Cu 3.31-3.42
Ga: 0.5000 0.0000 0.3820  4 Cu 2.48, 1 Ga 2.55
Ga: 0.5000 0.5000 0.0000  4 Ga 2.57
Ga: 0.5000 0.0000 0.1354  3 Ga 2.55-2.57, 2 Cu 2.57
Ga: 0.0000 0.5000 0.6180  4 Cu 2.48, 1 Ga 2.55
Ga: 0.0000 0.5000 0.8646  3 Ga 2.55-2.57, 2 Cu 2.57
Cu: 0.0000 0.0000 0.0000  4 Ga 2.57
Cu: 0.0000 0.0000 0.5000  4 Ga 2.48
Cu: 0.5000 0.5000 0.5000  4 Ga 2.48



[7]
First-principles (PBE-GGA) data for a relaxed structure of La2Ga5Cu3, as listed in Alexandria via LeMat-Bulk.

Results
total magnetization = 0.00 μB per cell
Fermi-level density of states = 0.489 states/eV per atom
space group = Ibam
E above lowest polymorph = 0 meV/atom

a = 6.0826 Å, b = 8.5311 Å, c = 8.5311 Å
α = 74.38°, β = 69.11°, γ = 69.11°
Closest atoms and distances in Å follow each position.
Positions (direct):
Ga: 0.2500 0.5000 0.5000  4 Cu 2.51
Ga: 0.0069 0.2431 0.2431  2 Cu 2.51, 2 Ga 2.64
Ga: 0.8871 0.9707 0.2551  3 Cu 2.46-2.52, 2 Ga 2.64
Ga: 0.7500 0.5000 0.5000  4 Cu 2.51
Ga: 0.3871 0.2551 0.9707  3 Cu 2.46-2.52, 2 Ga 2.64
Ga: 0.4931 0.7569 0.7569  2 Cu 2.51, 2 Ga 2.64
Ga: 0.9931 0.7569 0.7569  2 Cu 2.51, 2 Ga 2.64
Ga: 0.6129 0.7449 0.0293  3 Cu 2.46-2.52, 2 Ga 2.64
Ga: 0.1129 0.0293 0.7449  3 Cu 2.46-2.52, 2 Ga 2.64
Ga: 0.5069 0.2431 0.2431  2 Cu 2.51, 2 Ga 2.64
La: 0.3715 0.8724 0.3845  10 Ga 3.16-3.35, 6 Cu 3.27-3.42
La: 0.1285 0.6155 0.1276  10 Ga 3.16-3.35, 6 Cu 3.27-3.42
La: 0.8715 0.3845 0.8724  10 Ga 3.16-3.35, 6 Cu 3.27-3.42
La: 0.6285 0.1276 0.6155  10 Ga 3.16-3.35, 6 Cu 3.27-3.42
Cu: 0.8716 0.7488 0.5080  5 Ga 2.46-2.51
Cu: 0.2500 0.0000 0.0000  4 Ga 2.52
Cu: 0.1284 0.2512 0.4920  5 Ga 2.46-2.51
Cu: 0.6284 0.4920 0.2512  5 Ga 2.46-2.51
Cu: 0.3716 0.5080 0.7488  5 Ga 2.46-2.51
Cu: 0.7500 0.0000 0.0000  4 Ga 2.52



[8]
First-principles (PBE-GGA) data for a relaxed structure of La3GaCu8, as listed in Alexandria via LeMat-Bulk.

Results
total magnetization = 0.00 μB per cell
Fermi-level density of states = 0.592 states/eV per atom
space group = R3m

a = 5.2997 Å, b = 5.2997 Å, c = 9.1877 Å
α = 73.24°, β = 73.24°, γ = 60.00°
Closest atoms and distances in Å follow each position.
Positions (direct):
Ga: 0.8703 0.8703 0.3891  12 Cu 2.93-3.15, 4 La 3.18-3.22
La: 0.5033 0.5033 0.4900  12 Cu 3.02-3.12, 3 Ga 3.18, 1 La 3.26
La: 0.3778 0.3778 0.8665  12 Cu 3.10-3.19, 4 La 3.26-3.33
La: 0.9940 0.9940 0.0180  12 Cu 3.05-3.32, 1 Ga 3.22, 3 La 3.33
Cu: 0.4323 0.4323 0.1922  6 Cu 2.57-2.71
Cu: 0.9432 0.4323 0.1922  6 Cu 2.57-2.71
Cu: 0.9373 0.4455 0.6799  6 Cu 2.61-2.69
Cu: 0.1888 0.1888 0.4335  6 Cu 2.57-2.64
Cu: 0.6878 0.6878 0.9366  6 Cu 2.68-2.71
Cu: 0.9373 0.9373 0.6799  6 Cu 2.61-2.69
Cu: 0.4455 0.9373 0.6799  6 Cu 2.61-2.69
Cu: 0.4323 0.9432 0.1922  6 Cu 2.57-2.71



Number 1: E_form -320 meV/atom. Number 2: E_form -132 meV/atom. Number 3: E_form -320 meV/atom. Number 4: E_form -270 meV/atom. Number 5: E_form -269 meV/atom. Number 6: E_form -486 meV/atom. Number 7: E_form -512 meV/atom. Number 8: E_form -128 meV/atom.